[1]
## Tb5HoAg4 (GGA-PBE)

Data for a relaxed Tb5HoAg4 crystal.

Cell lengths 3.622, 3.622, 19.729 Å; angles 90.00, 90.00, 90.00 degrees
Space group P4/mmm (No. 123)
Unique sites:
Tb 0.000 0.000 0.000 (multiplicity 1)
Tb 0.000 0.000 0.188 (multiplicity 2)
Tb 0.000 0.000 0.375 (multiplicity 2)
Ho 0.500 0.500 0.500 (multiplicity 1)
Ag 0.500 0.500 0.094 (multiplicity 2)
Ag 0.500 0.500 0.282 (multiplicity 2)

Energy relative to the elements, eV per atom: -0.2416
E_tot, eV per cell: -41.6

[2]
## TbHo2Ag (GGA-PBE)

Data for a relaxed TbHo2Ag crystal.

Cell lengths 3.550, 3.550, 8.851 Å; angles 90.00, 90.00, 90.00 degrees
Space group P4/mmm (No. 123)
Unique sites:
Tb 0.000 0.000 0.000 (multiplicity 1)
Ho 0.500 0.500 0.286 (multiplicity 2)
Ag 0.000 0.000 0.500 (multiplicity 1)

Excess energy over the best structure of this formula in the dataset, meV/atom: 0
Energy relative to the elements, eV per atom: -0.1336
E_tot, eV per cell: -17.2

[3]
## Tb2HoAg6 (GGA-PBE)

Data for a relaxed Tb2HoAg6 crystal.

Cell lengths 5.311, 16.169, 5.319 Å; angles 90.00, 119.70, 90.00 degrees
Space group C2/m (No. 12)
Unique sites:
Tb 0.000 0.165 0.000 (multiplicity 4)
Ho 0.000 0.000 0.500 (multiplicity 2)
Ag 0.161 0.500 0.822 (multiplicity 4)
Ag 0.166 0.334 0.336 (multiplicity 8)

Energy relative to the elements, eV per atom: -0.2474
E_tot, eV per cell: -66.3

[4]
## TbHo2Ag (GGA-PBE)

Data for a relaxed TbHo2Ag crystal.

Cell lengths 3.5758, 3.5758, 30.9666 Å; angles 90.00, 90.00, 120.00 degrees
Space group R3m (No. 160, hexagonal axes)
Unique sites:
Tb 0.0000 0.0000 0.0000 (multiplicity 3)
Ho 0.0000 0.0000 0.2410 (multiplicity 3)
Ho 0.0000 0.0000 0.4256 (multiplicity 3)
Ag 0.0000 0.0000 0.8333 (multiplicity 3)

Excess energy over the best structure of this formula in the dataset, meV/atom: 123
Energy relative to the elements, eV per atom: -0.0108
E_tot, eV per cell: -50.0

[5]
## TbHo6Ag (GGA-PBE)

Data for a relaxed TbHo6Ag crystal.

Cell lengths 9.2462, 9.2462, 9.7028 Å; angles 90.00, 90.00, 120.00 degrees
Space group R-3 (No. 148, hexagonal axes)
Unique sites:
Tb 0.0000 0.0000 0.0000 (multiplicity 3)
Ho 0.0301 0.2529 0.7075 (multiplicity 18)
Ag 0.0000 0.0000 0.5000 (multiplicity 3)

Energy relative to the elements, eV per atom: 0.0444
E_tot, eV per cell: -103.8

[6]
## TbHo3Ag2 (GGA-PBE)

Data for a relaxed TbHo3Ag2 crystal.

Cell lengths 7.035, 13.920, 7.377 Å; angles 90.00, 90.00, 90.00 degrees
Space group Ibam (No. 72)
Unique sites:
Tb 0.000 0.000 0.000 (multiplicity 4)
Ho 0.000 0.229 0.250 (multiplicity 8)
Ho 0.000 0.500 0.250 (multiplicity 4)
Ag 0.200 0.357 0.000 (multiplicity 8)

Excess energy over the best structure of this formula in the dataset, meV/atom: 234
Energy relative to the elements, eV per atom: 0.0311
E_tot, eV per cell: -95.5

[7]
## TbHoAg (GGA-PBE)

Data for a relaxed TbHoAg crystal.

Cell lengths 4.727, 4.727, 7.494 Å; angles 90.00, 90.00, 90.00 degrees
Space group P4/nmm (No. 129, origin choice 2)
Unique sites:
Tb 0.250 0.250 0.132 (multiplicity 2)
Ho 0.250 0.750 0.500 (multiplicity 2)
Ag 0.250 0.250 0.749 (multiplicity 2)

Excess energy over the best structure of this formula in the dataset, meV/atom: 73
Energy relative to the elements, eV per atom: -0.1016
E_tot, eV per cell: -24.7

[8]
## TbHoAg (GGA-PBE)

Data for a relaxed TbHoAg crystal.

Cell lengths 5.0306, 5.0306, 24.5168 Å; angles 90.00, 90.00, 120.00 degrees
Space group R-3m (No. 166, hexagonal axes)
Unique sites:
Tb 0.0000 0.0000 0.1245 (multiplicity 6)
Ho 0.0000 0.0000 0.3747 (multiplicity 6)
Ag 0.0000 0.0000 0.2508 (multiplicity 6)

Excess energy over the best structure of this formula in the dataset, meV/atom: 222
Energy relative to the elements, eV per atom: 0.0468
E_tot, eV per cell: -71.5

[9]
## TbHo2Ag (GGA-PBE)

Data for a relaxed TbHo2Ag crystal.

Cell lengths 3.5378, 3.5378, 31.3681 Å; angles 90.00, 90.00, 120.00 degrees
Space group R-3m (No. 166, hexagonal axes)
Unique sites:
Tb 0.0000 0.0000 0.0000 (multiplicity 3)
Ho 0.0000 0.0000 0.2415 (multiplicity 6)
Ag 0.0000 0.0000 0.5000 (multiplicity 3)

Excess energy over the best structure of this formula in the dataset, meV/atom: 113
Energy relative to the elements, eV per atom: -0.0209
E_tot, eV per cell: -50.2

[10]
## Tb2HoAg (GGA-PBE)

Data for a relaxed Tb2HoAg crystal.

Cell lengths 7.608, 7.608, 7.608 Å; angles 90.00, 90.00, 90.00 degrees
Space group Fm-3m (No. 225)
Unique sites:
Tb 0.250 0.250 0.250 (multiplicity 8)
Ho 0.000 0.000 0.000 (multiplicity 4)
Ag 0.000 0.000 0.500 (multiplicity 4)

Excess energy over the best structure of this formula in the dataset, meV/atom: 186
Energy relative to the elements, eV per atom: 0.0606
E_tot, eV per cell: -65.8

[11]
## TbHoAg4 (GGA-PBE)

Data for a relaxed TbHoAg4 crystal.

Cell lengths 10.009, 3.715, 7.546 Å; angles 90.00, 112.20, 90.00 degrees
Space group C2/m (No. 12)
Unique sites:
Tb 0.000 0.000 0.000 (multiplicity 2)
Ho 0.000 0.000 0.500 (multiplicity 2)
Ag 0.169 0.500 0.832 (multiplicity 4)
Ag 0.170 0.500 0.337 (multiplicity 4)

Excess energy over the best structure of this formula in the dataset, meV/atom: 0
Energy relative to the elements, eV per atom: -0.3132
E_tot, eV per cell: -45.0

[12]
## TbHo4Ag (GGA-PBE)

Data for a relaxed TbHo4Ag crystal.

Cell lengths 3.533, 3.533, 13.881 Å; angles 90.00, 90.00, 90.00 degrees
Space group P4/mmm (No. 123)
Unique sites:
Tb 0.000 0.000 0.000 (multiplicity 1)
Ho 0.000 0.000 0.362 (multiplicity 2)
Ho 0.500 0.500 0.180 (multiplicity 2)
Ag 0.500 0.500 0.500 (multiplicity 1)

Excess energy over the best structure of this formula in the dataset, meV/atom: 0
Energy relative to the elements, eV per atom: -0.0802
E_tot, eV per cell: -26.3

[13]
## Tb3HoAg2 (GGA-PBE)

Data for a relaxed Tb3HoAg2 crystal.

Cell lengths 7.050, 13.984, 7.430 Å; angles 90.00, 90.00, 90.00 degrees
Space group Ibam (No. 72)
Unique sites:
Tb 0.000 0.000 0.250 (multiplicity 4)
Tb 0.000 0.272 0.250 (multiplicity 8)
Ho 0.000 0.500 0.000 (multiplicity 4)
Ag 0.201 0.142 0.000 (multiplicity 8)

Excess energy over the best structure of this formula in the dataset, meV/atom: 231
Energy relative to the elements, eV per atom: 0.0371
E_tot, eV per cell: -95.8

[14]
## Tb2Ho6Ag (GGA-PBE)

Data for a relaxed Tb2Ho6Ag crystal.

Cell lengths 3.539, 10.146, 15.126 Å; angles 90.00, 90.00, 90.00 degrees
Space group Immm (No. 71)
Unique sites:
Tb 0.000 0.000 0.138 (multiplicity 4)
Ho 0.000 0.266 0.500 (multiplicity 4)
Ho 0.000 0.342 0.182 (multiplicity 8)
Ag 0.000 0.500 0.000 (multiplicity 2)

Energy relative to the elements, eV per atom: 0.0537
E_tot, eV per cell: -78.2

[15]
## Tb2Ho2Ag3 (GGA-PBE)

Data for a relaxed Tb2Ho2Ag3 crystal.

Cell lengths 5.084, 5.086, 8.789 Å; angles 73.39, 73.21, 60.10 degrees
Space group P-1 (No. 2)
Unique sites:
Tb 0.127 0.128 0.120 (multiplicity 2)
Ho 0.377 0.377 0.369 (multiplicity 2)
Ag 0.000 0.000 0.500 (multiplicity 1)
Ag 0.251 0.250 0.748 (multiplicity 2)

Energy relative to the elements, eV per atom: -0.1613
E_tot, eV per cell: -28.1

[16]
## Tb2Ho5Ag (GGA-PBE)

Data for a relaxed Tb2Ho5Ag crystal.

Cell lengths 9.564, 9.575, 7.028 Å; angles 90.00, 132.88, 90.00 degrees
Space group Cm (No. 8)
Unique sites:
Tb 0.000 0.000 0.000 (multiplicity 2)
Tb 0.098 0.500 0.998 (multiplicity 2)
Ho 0.064 0.000 0.528 (multiplicity 2)
Ho 0.314 0.251 0.529 (multiplicity 4)
Ho 0.328 0.200 0.057 (multiplicity 4)
Ag 0.062 0.500 0.524 (multiplicity 2)

Energy relative to the elements, eV per atom: -0.0063
E_tot, eV per cell: -70.1

[17]
## Tb2HoAg (GGA-PBE)

Data for a relaxed Tb2HoAg crystal.

Cell lengths 3.5485, 3.5485, 31.4966 Å; angles 90.00, 90.00, 120.00 degrees
Space group R-3m (No. 166, hexagonal axes)
Unique sites:
Tb 0.0000 0.0000 0.2421 (multiplicity 6)
Ho 0.0000 0.0000 0.0000 (multiplicity 3)
Ag 0.0000 0.0000 0.5000 (multiplicity 3)

Excess energy over the best structure of this formula in the dataset, meV/atom: 105
Energy relative to the elements, eV per atom: -0.0204
E_tot, eV per cell: -50.3

[18]
## Tb3HoAg3 (GGA-PBE)

Data for a relaxed Tb3HoAg3 crystal.

Cell lengths 9.914, 10.699, 7.029 Å; angles 90.00, 91.19, 90.00 degrees
Space group C2/m (No. 12)
Unique sites:
Tb 0.000 0.181 0.000 (multiplicity 4)
Tb 0.000 0.263 0.500 (multiplicity 4)
Tb 0.129 0.500 0.851 (multiplicity 4)
Ho 0.243 0.500 0.356 (multiplicity 4)
Ag 0.071 0.000 0.316 (multiplicity 4)
Ag 0.241 0.243 0.229 (multiplicity 8)

Energy relative to the elements, eV per atom: -0.1428
E_tot, eV per cell: -112.1